Record 1
Here is crystalline Cs2H2PdCl4 at its relaxed geometry from Alexandria. Energies are from PBE-GGA.

Values from the calculation:
Raw total energy: -30.88 eV/cell
Space group: I4/mmm

a b c (Å): 7.1838 7.1838 7.1838
angles (deg): 100.83 113.96 113.96
With the nearest neighbours (Å) after each atom.
Fractional coordinates of all 9 atoms:
Cs (0.5000, 0.2500, 0.7500)  8 Cl 3.62
Cs (0.5000, 0.7500, 0.2500)  8 Cl 3.62
H (0.0000, 0.5410, 0.5410)  1 H 0.75
H (0.0000, 0.4590, 0.4590)  1 H 0.75
Cl (0.4212, 0.2106, 0.2106)  1 Pd 2.33
Cl (0.0000, 0.7894, 0.2106)  1 Pd 2.33
Cl (0.5788, 0.7894, 0.7894)  1 Pd 2.33
Cl (0.0000, 0.2106, 0.7894)  1 Pd 2.33
Pd (0.0000, 0.0000, 0.0000)  4 Cl 2.33



Record 2
Here is crystalline Cs2PmHCl6 at its relaxed geometry from Alexandria. Energies are from PBE-GGA.

Values from the calculation:
Raw total energy: -38.76 eV/cell
Space group: I4/mmm

a b c (Å): 7.4668 7.4656 8.5556
angles (deg): 55.05 55.05 71.80
With the nearest neighbours (Å) after each atom.
Fractional coordinates of all 10 atoms:
Cl (0.3218, 0.6785, 0.0000)  1 H 1.56
Cl (0.2215, 0.2217, 0.9999)  1 Pm 2.68
Cl (0.6782, 0.3215, 0.0000)  1 H 1.56
Cl (0.7784, 0.7784, 0.4431)  1 Pm 2.68
Cl (0.7785, 0.7783, 0.0001)  1 Pm 2.68
Cl (0.2216, 0.2216, 0.5569)  1 Pm 2.68
Cs (0.2500, 0.7501, 0.4999)  8 Cl 3.75
Cs (0.7500, 0.2499, 0.5001)  8 Cl 3.75
Pm (0.0000, 0.0000, 0.0000)  6 Cl 2.68-2.82
H (0.5000, 0.5000, 0.0000)  2 Cl 1.56



Record 3
Here is crystalline Cs2PrHCl6 at its relaxed geometry from Alexandria. Energies are from PBE-GGA.

Values from the calculation:
Raw total energy: -38.70 eV/cell
Space group: I4/mmm

a b c (Å): 7.5136 7.5125 8.6022
angles (deg): 55.07 55.06 71.91
With the nearest neighbours (Å) after each atom.
Fractional coordinates of all 10 atoms:
Pr (0.0000, 0.0000, 0.0000)  6 Cl 2.72-2.85
Cs (0.2499, 0.7501, 0.5000)  8 Cl 3.77
Cs (0.7501, 0.2499, 0.5000)  8 Cl 3.77
Cl (0.6768, 0.3230, 0.0000)  1 H 1.56
Cl (0.2240, 0.2239, 0.5524)  1 Pr 2.72
Cl (0.7760, 0.7761, 0.4476)  1 Pr 2.72
Cl (0.7763, 0.7760, 0.0002)  1 Pr 2.72
Cl (0.3232, 0.6770, 0.0000)  1 H 1.56
Cl (0.2237, 0.2240, 0.9998)  1 Pr 2.72
H (0.5000, 0.5000, 0.0000)  2 Cl 1.56



Record 4
Here is crystalline CsHPtCl6 at its relaxed geometry from Alexandria. Energies are from PBE-GGA.

Values from the calculation:
Raw total energy: -28.71 eV/cell
Space group: P1

a b c (Å): 7.5250 9.6125 6.9793
angles (deg): 60.41 70.48 39.57
With the nearest neighbours (Å) after each atom.
Fractional coordinates of all 9 atoms:
Cl (0.6766, 0.0764, 0.6955)  1 Pt 2.34
Cl (0.0009, 0.5591, 0.6613)  1 H 1.47
Cl (0.9092, 0.5451, 0.2329)  1 Pt 2.35
Cl (0.5911, 0.0641, 0.2691)  1 H 1.70
Cl (0.3589, 0.5458, 0.2143)  1 Pt 2.36
Cl (0.2327, 0.0746, 0.7087)  1 Pt 2.36
Cs (0.1284, 0.0302, 0.2748)  9 Cl 3.56-3.81
H (0.8076, 0.7931, 0.4801)  1 Cl 1.47
Pt (0.2944, 0.3116, 0.4631)  6 Cl 2.33-2.36



Record 5
Here is crystalline CsH2PtCl8 at its relaxed geometry from Alexandria. Energies are from PBE-GGA.

Values from the calculation:
Raw total energy: -36.45 eV/cell
Space group: P-1

a b c (Å): 6.1326 8.0078 9.5871
angles (deg): 57.06 89.00 78.38
With the nearest neighbours (Å) after each atom.
Fractional coordinates of all 12 atoms:
Cl (0.9229, 0.2679, 0.7139)  1 H 2.08
Cl (0.0771, 0.7321, 0.2861)  1 H 2.08
Cl (0.4167, 0.2977, 0.3521)  1 H 1.33
Cl (0.3123, 0.1115, 0.0215)  1 Pt 2.33
Cl (0.7951, 0.2168, 0.0732)  1 Pt 2.35
Cl (0.5833, 0.7023, 0.6479)  1 H 1.33
Cl (0.6877, 0.8885, 0.9785)  1 Pt 2.33
Cl (0.2049, 0.7832, 0.9268)  1 Pt 2.35
Cs (0.0000, 0.0000, 0.5000)  8 Cl 3.59-3.68
Pt (0.0000, 0.0000, 0.0000)  6 Cl 2.33-2.36
H (0.2989, 0.4778, 0.3157)  1 Cl 1.33
H (0.7011, 0.5222, 0.6843)  1 Cl 1.33



Record 6
Here is crystalline Cs2HPtCl6 at its relaxed geometry from Alexandria. Energies are from PBE-GGA.

Values from the calculation:
Raw total energy: -31.34 eV/cell
Space group: Fm-3m

a b c (Å): 7.4582 7.4582 7.4609
angles (deg): 60.01 60.01 90.00
With the nearest neighbours (Å) after each atom.
Fractional coordinates of all 10 atoms:
Cl (0.7763, 0.7763, 0.0000)  1 Pt 2.36
Cl (0.2237, 0.2237, 0.0000)  1 Pt 2.36
Cl (0.7763, 0.2237, 0.0000)  1 Pt 2.36
Cl (0.2235, 0.2235, 0.5529)  1 Pt 2.36
Cl (0.2237, 0.7763, 0.0000)  1 Pt 2.36
Cl (0.7765, 0.7765, 0.4471)  1 Pt 2.36
Cs (0.2500, 0.7500, 0.5000)  12 Cl 3.74
Cs (0.7500, 0.2500, 0.5000)  12 Cl 3.74
Pt (0.0000, 0.0000, 0.0000)  6 Cl 2.36
H (0.5000, 0.5000, 0.0000)  6 Cl 2.91-2.92



Record 7
Here is crystalline CsPuHCl6 at its relaxed geometry from Alexandria. Energies are from PBE-GGA.

Values from the calculation:
Raw total energy: -43.15 eV/cell
Space group: P1

a b c (Å): 8.0530 7.4879 7.5129
angles (deg): 74.01 74.85 47.84
With the nearest neighbours (Å) after each atom.
Fractional coordinates of all 9 atoms:
Cl (0.0689, 0.4131, 0.8299)  1 Pu 2.57
Cl (0.5397, 0.2791, 0.1960)  1 Pu 2.56
Cl (0.5091, 0.8853, 0.5950)  1 H 1.90
Cl (0.1191, 0.8010, 0.4351)  1 Pu 2.55
Cl (0.5969, 0.2965, 0.6824)  1 Pu 2.55
Cl (0.9660, 0.4687, 0.3563)  1 H 1.37
Pu (0.3225, 0.3479, 0.5217)  5 Cl 2.55-2.64
Cs (0.0987, 0.8611, 0.9270)  9 Cl 3.64-3.87
H (0.7790, 0.6474, 0.4566)  1 Cl 1.37



Record 8
Here is crystalline Cs2PuHCl6 at its relaxed geometry from Alexandria. Energies are from PBE-GGA.

Values from the calculation:
Raw total energy: -45.50 eV/cell
Space group: Fmmm

a b c (Å): 7.6789 7.6786 7.7124
angles (deg): 60.11 60.11 89.94
With the nearest neighbours (Å) after each atom.
Fractional coordinates of all 10 atoms:
Cl (0.7597, 0.2402, 0.0000)  1 Pu 2.61, 1 H 2.82
Cl (0.2403, 0.7598, 0.0000)  1 Pu 2.61, 1 H 2.82
Cl (0.2400, 0.2401, 0.0000)  1 Pu 2.61, 1 H 2.82
Cl (0.7617, 0.7617, 0.4766)  1 Pu 2.61, 1 H 2.87
Cl (0.7600, 0.7599, 0.0000)  1 Pu 2.61, 1 H 2.82
Cl (0.2383, 0.2383, 0.5234)  1 Pu 2.61, 1 H 2.87
H (0.5000, 0.5000, 0.0000)  6 Cl 2.82-2.87
Pu (0.0000, 0.0000, 0.0000)  6 Cl 2.61
Cs (0.2500, 0.7500, 0.5000)  12 Cl 3.84-3.86
Cs (0.7500, 0.2500, 0.5000)  12 Cl 3.84-3.86



Record 9
Here is crystalline Cs2RbHCl at its relaxed geometry from Alexandria. Energies are from PBE-GGA.

Values from the calculation:
Raw total energy: -10.80 eV/cell
Space group: P4/mmm

a b c (Å): 6.2867 6.2867 5.7084
angles (deg): 90.00 90.00 90.00
With the nearest neighbours (Å) after each atom.
Fractional coordinates of all 5 atoms:
H (0.0000, 0.0000, 0.0000)  2 Rb 2.85, 4 Cs 3.14
Cs (0.5000, 0.0000, 0.0000)  2 H 3.14
Cs (0.0000, 0.5000, 0.0000)  2 H 3.14
Rb (0.0000, 0.0000, 0.5000)  2 H 2.85
Cl (0.5000, 0.5000, 0.5000)  8 Cs 4.25, 4 Rb 4.45



Record 10
Here is crystalline CsRb2HCl at its relaxed geometry from Alexandria. Energies are from PBE-GGA.

Values from the calculation:
Raw total energy: -10.88 eV/cell
Space group: P4/mmm

a b c (Å): 5.6268 5.6268 7.0589
angles (deg): 90.00 90.00 90.00
With the nearest neighbours (Å) after each atom.
Fractional coordinates of all 5 atoms:
Rb (0.5000, 0.0000, 0.0000)  2 H 2.81
Rb (0.0000, 0.5000, 0.0000)  2 H 2.81
H (0.0000, 0.0000, 0.0000)  4 Rb 2.81
Cl (0.5000, 0.5000, 0.5000)  4 Cs 3.98
Cs (0.0000, 0.0000, 0.5000)  2 H 3.53



Record 11
Here is crystalline CsRbHCl at its relaxed geometry from Alexandria. Energies are from PBE-GGA.

Values from the calculation:
Raw total energy: -10.93 eV/cell
Space group: F-43m

a b c (Å): 5.6390 5.6390 5.6390
angles (deg): 60.00 60.00 60.00
With the nearest neighbours (Å) after each atom.
Fractional coordinates of all 4 atoms:
Cl (0.2500, 0.2500, 0.2500)  4 Rb 3.45, 4 Cs 3.45
Cs (0.5000, 0.5000, 0.5000)  4 H 3.45, 4 Cl 3.45
H (0.7500, 0.7500, 0.7500)  4 Cs 3.45, 4 Rb 3.45
Rb (0.0000, 0.0000, 0.0000)  4 Cl 3.45, 4 H 3.45



Record 12
Here is crystalline CsRbHCl at its relaxed geometry from Alexandria. Energies are from PBE-GGA.

Values from the calculation:
Raw total energy: -11.22 eV/cell
Space group: R3m

a b c (Å): 4.6434 4.6434 8.1158
angles (deg): 73.38 73.38 60.00
With the nearest neighbours (Å) after each atom.
Fractional coordinates of all 4 atoms:
H (0.1981, 0.1981, 0.4057)  3 Rb 3.16, 3 Cs 3.25
Cs (0.4516, 0.4516, 0.6453)  3 H 3.25, 3 Cl 3.47
Cl (0.6892, 0.6892, 0.9323)  3 Rb 3.32, 3 Cs 3.47
Rb (0.9376, 0.9376, 0.1873)  3 H 3.16, 3 Cl 3.32